Record 1
BrF5, optimized geometry, DFT GGA-PBEsol; calculated total energy = -35.35 eV/cell; M_tot = 0.0000 μB per atom; raw formation energy = -1.028 eV per atom
1.0
-0.764 -1.154 4.875
-3.065 -3.616 -1.790
5.714 -4.732 -0.225
Br F
2 10
Direct
0.167 0.833 0.743 Br
0.833 0.167 0.243 Br
0.558 0.916 0.255 F
0.353 0.647 0.592 F
0.676 0.324 0.416 F
0.324 0.676 0.916 F
0.999 0.001 0.929 F
0.001 0.999 0.429 F
0.084 0.442 0.255 F
0.442 0.084 0.755 F
0.916 0.558 0.755 F
0.647 0.353 0.092 F

Record 2
BrF3, optimized geometry, DFT GGA-PBEsol; calculated total energy = -22.94 eV/cell; M_tot = 0.0000 μB per atom; raw formation energy = -0.955 eV per atom
1.0
4.862 -0.138 0.000
-1.533 4.616 0.000
0.000 0.000 5.964
Br F
2 6
Direct
0.836 0.164 0.244 Br
0.164 0.836 0.744 Br
0.059 0.941 0.420 F
0.638 0.362 0.099 F
0.362 0.638 0.599 F
0.727 0.273 0.508 F
0.273 0.727 0.008 F
0.941 0.059 0.920 F

Record 3
Fe2Br2F, optimized geometry, DFT GGA-PBEsol; calculated total energy = -24.84 eV/cell; M_tot = 1.1961 μB per atom; raw formation energy = -0.249 eV per atom
1.0
3.493 0.000 0.000
0.000 3.493 0.000
-1.747 -1.747 6.728
Br F Fe
2 1 2
Direct
0.620 0.620 0.241 Br
0.380 0.380 0.759 Br
0.000 0.000 0.000 F
0.750 0.250 0.500 Fe
0.250 0.750 0.500 Fe

- Which formula does entry 1 have?
  BrF5